# CuMo4PN2

An optimized crystal structure of CuMo4PN2 (PBE, the Open Quantum Materials Database).

Cell lengths 2.941, 2.941, 13.259 Å; angles 90.00, 90.00, 120.00 degrees
Fractional positions:
Mo: 0.667 0.333 0.339
Mo: 0.667 0.333 0.661
P: 0.667 0.333 0.000
Mo: 0.333 0.667 0.864
N: 0.000 0.000 0.242
Cu: 0.333 0.667 0.500
Mo: 0.333 0.667 0.136
N: 0.000 0.000 0.758

Properties
Space-group type: P-6m2 (187)
M_tot, μB/atom: 0.00
Total energy, eV per atom: -8.673
Calculated density, Mg/m³: 8.46

=====

# CuMo4PbN2

An optimized crystal structure of CuMo4PbN2 (PBE, the Open Quantum Materials Database).

Cell lengths 3.244, 3.244, 12.546 Å; angles 90.00, 90.00, 120.00 degrees
Fractional positions:
Mo: 0.000 0.000 0.851
Mo: 0.667 0.333 0.691
Mo: 0.000 0.000 0.149
Mo: 0.667 0.333 0.309
Cu: 0.667 0.333 0.000
N: 0.333 0.667 0.765
N: 0.333 0.667 0.235
Pb: 0.000 0.000 0.500

Properties
Space-group type: P-6m2 (187)
M_tot, μB/atom: 0.00
Total energy, eV per atom: -8.253
Calculated density, Mg/m³: 9.92

=====

# CuMo4SN2

An optimized crystal structure of CuMo4SN2 (PBE, the Open Quantum Materials Database).

Cell lengths 2.922, 2.922, 13.436 Å; angles 90.00, 90.00, 120.00 degrees
Fractional positions:
N: 0.333 0.667 0.241
Mo: 0.000 0.000 0.660
Mo: 0.000 0.000 0.340
Mo: 0.667 0.333 0.862
N: 0.333 0.667 0.759
Cu: 0.667 0.333 0.500
Mo: 0.667 0.333 0.138
S: 0.000 0.000 0.000

Properties
Space-group type: P-6m2 (187)
M_tot, μB/atom: 0.00
Total energy, eV per atom: -8.448
Calculated density, Mg/m³: 8.48